DFT (PBE with a Hubbard U) results for an optimized crystal structure of BeNiF2.

Lattice parameters (Å, degrees): 5.1953 5.1953 5.1587 59.77 59.77 90.00
Fractional coordinates of all 8 atoms:
1 Be 0.5000 0.5000 0.0000
2 Be 0.2500 0.7500 0.5000
3 Ni 0.7500 0.2500 0.5000
4 Ni 0.0000 0.0000 0.0000
5 F 0.3750 0.6249 0.7500
6 F 0.3749 0.6250 0.2500
7 F 0.8750 0.6251 0.7500
8 F 0.3751 0.1250 0.2500

E above lowest polymorph = 33.0 meV/atom
D(E_F) = 0.10 states/eV/f.u.
Final energy = -4.12 eV/atom
Total magnetization = 2.01 Bohr magnetons per cell